No. 1
YTl5Br8, relaxed, DFT PBE; SG = P1 (1); formation energy (no corrections) = -1.130 eV/atom
1.0
-3.0277 -1.3798 -7.5204
-5.8333 -3.4839 5.7853
1.7364 9.0542 0.9898
Br Tl Y
8 5 1
Direct
0.1193 0.9599 0.7121 Br
0.2804 0.4232 0.2887 Br
0.4458 0.2001 0.6105 Br
0.1430 0.5097 0.7861 Br
0.5768 0.8696 0.3814 Br
0.8672 0.4540 0.3092 Br
0.0007 0.7425 0.1402 Br
0.5566 0.8703 0.8014 Br
0.3656 0.9598 0.0863 Tl
0.4902 0.4609 0.0291 Tl
0.0145 0.1681 0.3876 Tl
0.7513 0.5951 0.6295 Tl
0.8795 0.2520 0.8704 Tl
0.2593 0.7848 0.4674 Y


No. 2
MgIn4Pt, relaxed, DFT PBE; SG = I4/mcm (140); offset from the most stable computed form = 0 kJ/mol of formula units; formation energy from the elements = -291 meV per atom
1.0
-5.0663 1.5288 4.6106
-3.7908 -5.4100 -2.3716
6.8208 -1.3692 2.6067
Pt Mg In
2 2 8
Direct
0.7500 0.7500 0.5000 Pt
0.2500 0.2500 0.5000 Pt
0.5000 0.5000 0.0000 Mg
0.0000 0.0000 0.0000 Mg
0.9856 0.7938 0.2793 In
0.2062 0.7062 0.7207 In
0.2938 0.4856 0.2793 In
0.4856 0.9856 0.2793 In
0.5144 0.0144 0.7207 In
0.7062 0.5144 0.7207 In
0.0144 0.2062 0.7207 In
0.7938 0.2938 0.2793 In


No. 3
La3TlRu, relaxed, DFT PBE; SG = Fd-3m (227); offset from the most stable computed form = 121 kJ/mol of formula units; formation energy from the elements = -138 meV per atom
1.0
5.7115 5.3193 6.6243
-3.3277 9.0086 3.5453
-2.9645 0.8810 9.7588
La Tl Ru
12 4 4
Direct
0.4548 0.0452 0.4548 La
0.2048 0.7952 0.7952 La
0.2048 0.2048 0.7952 La
0.7952 0.2048 0.7952 La
0.2048 0.7952 0.2048 La
0.0452 0.4548 0.0452 La
0.7952 0.7952 0.2048 La
0.0452 0.4548 0.4548 La
0.0452 0.0452 0.4548 La
0.7952 0.2048 0.2048 La
0.4548 0.4548 0.0452 La
0.4548 0.0452 0.0452 La
0.6250 0.1250 0.6250 Tl
0.1250 0.6250 0.6250 Tl
0.6250 0.6250 0.1250 Tl
0.6250 0.6250 0.6250 Tl
0.1250 0.1250 0.1250 Ru
0.6250 0.1250 0.1250 Ru
0.1250 0.6250 0.1250 Ru
0.1250 0.1250 0.6250 Ru


No. 4
LiPr2Sb, relaxed, DFT PBE; SG = Imma (74); formation energy (no corrections) = -0.572 eV/atom; offset from the most stable computed form = 0 kJ/mol of formula units
1.0
7.0999 0.0000 0.0000
3.5499 5.6618 -0.0966
3.5499 1.0191 5.5701
Pr Li Sb
4 2 2
Direct
0.2271 0.2729 0.7729 Pr
0.2729 0.7271 0.2271 Pr
0.7729 0.7271 0.2271 Pr
0.7271 0.2729 0.7729 Pr
0.7500 0.2016 0.2984 Li
0.2500 0.7984 0.7016 Li
0.2500 0.2098 0.2902 Sb
0.7500 0.7902 0.7098 Sb


No. 5
Zn5In3Cl12, relaxed, DFT PBE; SG = Ia-3d (230); formation energy (no corrections) = -0.917 eV/atom
1.0
-1.4566 -13.2227 4.8019
7.8319 -0.0969 -11.7758
6.3755 7.9124 9.8370
Cl Zn In
48 20 12
Direct
0.8152 0.9003 0.0094 Cl
0.5997 0.9906 0.6848 Cl
0.6848 0.4906 0.5997 Cl
0.4003 0.0094 0.3152 Cl
0.0094 0.4003 0.8152 Cl
0.9003 0.8152 0.5094 Cl
0.4149 0.3058 0.3152 Cl
0.3909 0.4003 0.0851 Cl
0.0997 0.9149 0.1091 Cl
0.6091 0.5997 0.9149 Cl
0.9906 0.3909 0.3058 Cl
0.6848 0.1942 0.5851 Cl
0.9906 0.5997 0.1848 Cl
0.0997 0.1848 0.4906 Cl
0.6942 0.5851 0.1848 Cl
0.6942 0.1091 0.0094 Cl
0.3058 0.8909 0.9906 Cl
0.9149 0.8152 0.8058 Cl
0.0851 0.1848 0.1942 Cl
0.3152 0.8058 0.4149 Cl
0.4003 0.3909 0.5851 Cl
0.1848 0.0997 0.9906 Cl
0.3058 0.4149 0.8152 Cl
0.4906 0.6848 0.0997 Cl
0.4906 0.8058 0.8909 Cl
0.9149 0.0997 0.6091 Cl
0.5997 0.6091 0.4149 Cl
0.8058 0.4906 0.3909 Cl
0.1942 0.6848 0.0851 Cl
0.1091 0.6942 0.5094 Cl
0.9003 0.0851 0.8909 Cl
0.1091 0.4149 0.0997 Cl
0.5851 0.6942 0.6848 Cl
0.6091 0.0094 0.1942 Cl
0.5094 0.1942 0.1091 Cl
0.1848 0.0851 0.6942 Cl
0.5851 0.8909 0.4003 Cl
0.8058 0.3152 0.9149 Cl
0.0094 0.6091 0.6942 Cl
0.1942 0.5094 0.6091 Cl
0.8909 0.3058 0.4906 Cl
0.0851 0.9003 0.3909 Cl
0.8909 0.5851 0.9003 Cl
0.8152 0.9149 0.3058 Cl
0.3909 0.9906 0.8058 Cl
0.5094 0.3152 0.9003 Cl
0.4149 0.1091 0.5997 Cl
0.3152 0.5094 0.4003 Cl
0.6250 0.8750 0.2500 Zn
0.1250 0.3750 0.2500 Zn
0.2500 0.3750 0.6250 Zn
0.7500 0.6250 0.3750 Zn
0.1250 0.7500 0.3750 Zn
0.3750 0.1250 0.7500 Zn
0.8750 0.2500 0.6250 Zn
0.8750 0.6250 0.7500 Zn
0.0000 0.0000 0.0000 Zn
0.0000 0.5000 0.5000 Zn
0.2500 0.8750 0.1250 Zn
0.7500 0.1250 0.8750 Zn
0.3750 0.2500 0.1250 Zn
0.6250 0.7500 0.8750 Zn
0.0000 0.0000 0.5000 Zn
0.5000 0.0000 0.5000 Zn
0.5000 0.5000 0.0000 Zn
0.0000 0.5000 0.0000 Zn
0.5000 0.5000 0.5000 Zn
0.5000 0.0000 0.0000 Zn
0.3750 0.6250 0.2500 In
0.8750 0.7500 0.1250 In
0.6250 0.3750 0.7500 In
0.7500 0.8750 0.6250 In
0.2500 0.6250 0.8750 In
0.2500 0.1250 0.3750 In
0.3750 0.7500 0.6250 In
0.6250 0.2500 0.3750 In
0.1250 0.2500 0.8750 In
0.1250 0.8750 0.7500 In
0.8750 0.1250 0.2500 In
0.7500 0.3750 0.1250 In


No. 6
Ca2PuTe4Pb, relaxed, DFT PBE; SG = P2/m (10); formation energy (no corrections) = -1.141 eV/atom
1.0
-1.0252 3.2804 -2.9601
-6.1250 2.1718 4.5282
6.4438 3.9904 2.1904
Te Pb Ca Pu
4 1 2 1
Direct
0.0000 0.2534 0.7474 Te
0.5000 0.7439 0.7434 Te
0.0000 0.7466 0.2526 Te
0.5000 0.2561 0.2566 Te
0.0000 0.0000 0.0000 Pb
0.5000 0.0000 0.5000 Ca
0.0000 0.5000 0.5000 Ca
0.5000 0.5000 0.0000 Pu


No. 7
Pm4SnAu3, relaxed, DFT PBE; SG = Pmm2 (25); formation energy from the elements = -776 meV per atom
1.0
-2.9784 -2.7172 0.2693
2.2915 -2.1653 3.4960
-5.3264 6.5891 7.5724
Au Pm Sn
3 4 1
Direct
0.0000 0.5000 0.5847 Au
0.0000 0.0000 0.4176 Au
0.5000 0.0000 0.9088 Au
0.0000 0.5000 0.8530 Pm
0.5000 0.5000 0.3694 Pm
0.5000 0.0000 0.6371 Pm
0.0000 0.0000 0.1457 Pm
0.5000 0.5000 0.0837 Sn


No. 8
MgBCl, relaxed, DFT PBE; SG = P1 (1); formation energy (no corrections) = -0.812 eV/atom; offset from the most stable computed form = 0 kJ/mol of formula units
1.0
-2.1704 0.0045 -2.4501
-0.6790 -1.5835 2.7830
-2.7427 9.1657 4.3563
B Cl Mg
2 2 2
Direct
0.9048 0.4590 0.8280 B
0.5727 0.7919 0.8280 B
0.3771 0.6794 0.5116 Cl
0.7661 0.9049 0.1443 Cl
0.1356 0.0659 0.6610 Mg
0.3413 0.1851 0.9950 Mg


| no. | density of states at the Fermi level (states/eV/f.u.) |
| --- | --- |
| 1 | 0.00 |
| 2 | 1.98 |
| 3 | 2.72 |
| 4 | 3.05 |
| 5 | 2.48 |
| 6 | 17.64 |
| 7 | 7.08 |
| 8 | 0.14 |